Entry 1:
! NbPdO3 PBE-GGA relaxed; values from VASP
&SYSTEM
  ibrav = 0, nat = 5, ntyp = 3
/
ATOMIC_SPECIES
Pd 106.42 Pd.upf
Nb 92.91 Nb.upf
O 16.00 O.upf
CELL_PARAMETERS angstrom
3.920 0.000 0.000
0.000 3.920 0.000
0.000 0.000 4.057
ATOMIC_POSITIONS angstrom
Pd 0.000 0.000 0.308
Nb 1.960 1.960 2.193
O 1.960 0.000 2.447
O 1.960 1.960 0.316
O 0.000 1.960 2.447
! - uncorrected energy (eV per atom) = -7.430

Entry 2:
! PmNbO4 PBE-GGA relaxed; values from VASP
&SYSTEM
  ibrav = 0, nat = 12, ntyp = 3
/
ATOMIC_SPECIES
Nb 92.91 Nb.upf
O 16.00 O.upf
Pm 145.00 Pm.upf
CELL_PARAMETERS angstrom
3.634 -5.636 0.000
3.634 5.636 0.000
-3.474 0.000 3.860
ATOMIC_POSITIONS angstrom
Nb 2.766 -1.231 0.965
Nb 1.029 1.231 2.895
O -0.962 -0.365 3.119
O 1.316 -2.371 1.310
O 4.757 0.365 0.741
O -0.421 2.371 3.240
O 0.775 0.365 1.189
O 4.216 -2.371 0.620
O 2.479 2.371 2.550
O 3.021 -0.365 2.671
Pm 2.766 4.191 0.965
Pm 1.029 -4.191 2.895
! - uncorrected energy (eV per atom) = -8.844

Entry 3:
! PmNbO3 PBE-GGA relaxed; values from VASP
&SYSTEM
  ibrav = 0, nat = 10, ntyp = 3
/
ATOMIC_SPECIES
O 16.00 O.upf
Nb 92.91 Nb.upf
Pm 145.00 Pm.upf
CELL_PARAMETERS angstrom
5.156 0.317 -2.049
4.366 -0.958 3.302
2.995 -5.269 -0.813
ATOMIC_POSITIONS angstrom
O 6.423 -3.686 -2.064
O 6.095 -2.225 2.502
O 7.883 -4.503 1.080
O 4.634 -1.408 -0.641
O 8.175 -1.611 -0.321
O 4.342 -4.300 0.760
Nb 9.437 -3.049 0.666
Nb 3.080 -2.862 -0.227
Pm 6.333 -0.842 0.734
Pm 6.184 -5.069 -0.295
! - uncorrected energy (eV per atom) = -8.487

Entry 4:
! PmNbO3 PBE-GGA relaxed; values from VASP
&SYSTEM
  ibrav = 0, nat = 10, ntyp = 3
/
ATOMIC_SPECIES
Nb 92.91 Nb.upf
O 16.00 O.upf
Pm 145.00 Pm.upf
CELL_PARAMETERS angstrom
2.975 -1.718 -4.146
-2.975 -1.718 -4.146
0.000 3.435 -4.146
ATOMIC_POSITIONS angstrom
Nb 0.000 0.000 -6.219
Nb 0.000 0.000 0.000
O -1.793 -0.330 -5.182
O 0.610 1.718 -5.182
O 1.182 -1.387 -5.182
O 1.793 0.330 -7.255
O -0.610 -1.718 -7.255
O -1.182 1.387 -7.255
Pm 0.000 0.000 -3.109
Pm 0.000 0.000 -9.328
! - uncorrected energy (eV per atom) = -8.570

Entry 5:
! PmNbO3 PBE-GGA relaxed; values from VASP
&SYSTEM
  ibrav = 0, nat = 5, ntyp = 3
/
ATOMIC_SPECIES
Pm 145.00 Pm.upf
O 16.00 O.upf
Nb 92.91 Nb.upf
CELL_PARAMETERS angstrom
4.093 0.000 0.000
0.000 4.093 0.000
0.000 0.000 4.081
ATOMIC_POSITIONS angstrom
Pm 0.000 0.000 3.907
O 2.047 0.000 2.533
O 0.000 2.047 2.533
O 2.047 2.047 0.420
Nb 2.047 2.047 2.443
! - uncorrected energy (eV per atom) = -8.452

Entry 6:
! PmNbO3 PBE-GGA relaxed; values from VASP
&SYSTEM
  ibrav = 0, nat = 10, ntyp = 3
/
ATOMIC_SPECIES
O 16.00 O.upf
Nb 92.91 Nb.upf
Pm 145.00 Pm.upf
CELL_PARAMETERS angstrom
3.543 0.000 0.000
0.000 6.432 0.000
0.000 0.000 5.819
ATOMIC_POSITIONS angstrom
O 1.772 4.570 0.272
O 0.000 0.874 4.789
O 0.000 3.840 4.255
O 0.000 5.559 1.880
O 1.772 1.862 3.181
O 0.000 2.592 1.346
Nb 0.000 5.473 5.533
Nb 0.000 0.959 2.624
Pm 1.772 2.273 5.519
Pm 1.772 4.159 2.609
! - uncorrected energy (eV per atom) = -8.568

Entry 7:
! PmNbO3 PBE-GGA relaxed; values from VASP
&SYSTEM
  ibrav = 0, nat = 20, ntyp = 3
/
ATOMIC_SPECIES
O 16.00 O.upf
Nb 92.91 Nb.upf
Pm 145.00 Pm.upf
CELL_PARAMETERS angstrom
-3.575 -4.052 -0.963
4.479 -3.480 -1.987
1.111 -2.699 7.230
ATOMIC_POSITIONS angstrom
O 0.221 -7.430 3.499
O 1.290 -4.019 6.286
O 2.632 -5.195 2.284
O -1.223 -4.789 4.706
O 3.238 -5.441 -0.427
O 1.794 -2.800 0.781
O 3.075 -6.273 5.170
O 0.725 -6.211 -2.006
O -0.617 -5.034 1.996
O -1.060 -3.957 -0.891
O 0.846 -2.941 3.399
O 1.169 -7.289 0.880
Nb 2.239 -1.740 -0.994
Nb -1.232 -3.375 3.133
Nb -1.787 -2.026 -0.481
Nb 2.795 -3.089 2.621
Pm 0.976 -4.856 0.139
Pm -2.816 -4.876 0.715
Pm 1.039 -5.374 4.140
Pm 4.831 -5.354 3.565
! - uncorrected energy (eV per atom) = -8.627

Entry 8:
! PrNbO3 PBE-GGA relaxed; values from VASP
&SYSTEM
  ibrav = 0, nat = 10, ntyp = 3
/
ATOMIC_SPECIES
O 16.00 O.upf
Pr 140.91 Pr.upf
Nb 92.91 Nb.upf
CELL_PARAMETERS angstrom
-2.832 4.905 0.000
2.832 4.905 0.000
0.000 3.270 -5.154
ATOMIC_POSITIONS angstrom
O 2.107 6.603 -1.392
O -2.107 6.477 -3.763
O -1.108 8.333 -1.392
O 1.108 4.747 -3.763
O 0.999 8.396 -3.763
O -0.999 4.684 -1.392
Pr 0.000 6.540 -4.733
Pr 0.000 6.540 -0.421
Nb 0.000 9.810 -2.459
Nb 0.000 3.270 -2.695
! - uncorrected energy (eV per atom) = -8.432

Entry 9:
! Pr5Nb2O12 PBE-GGA relaxed; values from VASP
&SYSTEM
  ibrav = 0, nat = 19, ntyp = 3
/
ATOMIC_SPECIES
Pr 140.91 Pr.upf
O 16.00 O.upf
Nb 92.91 Nb.upf
CELL_PARAMETERS angstrom
6.428 -3.024 0.000
6.428 3.024 0.000
-2.321 0.000 7.383
ATOMIC_POSITIONS angstrom
Pr -1.161 0.000 3.692
Pr 2.441 0.000 4.717
Pr 6.973 0.000 6.123
Pr 3.562 0.000 1.260
Pr 8.094 0.000 2.666
O 7.082 1.511 4.261
O 4.551 0.000 6.010
O 2.225 -1.428 6.792
O -0.423 0.000 1.386
O 8.310 1.428 0.591
O 8.310 -1.428 0.591
O 5.984 0.000 1.373
O 7.082 -1.511 4.261
O 3.453 -1.511 3.122
O 10.958 0.000 5.998
O 3.453 1.511 3.122
O 2.225 1.428 6.792
Nb 6.428 -1.574 0.000
Nb 6.428 1.574 0.000
! - uncorrected energy (eV per atom) = -8.586

Entry 10:
! Pr2NbO4 PBE-GGA relaxed; values from VASP
&SYSTEM
  ibrav = 0, nat = 14, ntyp = 3
/
ATOMIC_SPECIES
Pr 140.91 Pr.upf
O 16.00 O.upf
Nb 92.91 Nb.upf
CELL_PARAMETERS angstrom
-5.023 -2.396 -3.971
6.489 -0.323 -2.129
-2.125 -4.014 5.111
ATOMIC_POSITIONS angstrom
Pr 1.655 -3.649 0.109
Pr 2.717 -1.642 -2.447
Pr -1.589 -3.488 1.173
Pr -4.101 -4.686 -0.812
O 2.529 -4.074 2.424
O -0.960 -3.902 3.568
O -0.172 -5.363 0.290
O -2.219 -3.074 -1.222
O -3.362 -5.232 1.524
O 0.183 -1.744 0.821
O 3.482 -1.935 -0.073
O 0.781 -3.224 -2.207
Nb -1.054 -2.962 -2.765
Nb 0.000 0.000 0.000
! - uncorrected energy (eV per atom) = -8.120

Entry 11:
! PrNbO3 PBE-GGA relaxed; values from VASP
&SYSTEM
  ibrav = 0, nat = 20, ntyp = 3
/
ATOMIC_SPECIES
O 16.00 O.upf
Pr 140.91 Pr.upf
Nb 92.91 Nb.upf
CELL_PARAMETERS angstrom
5.542 0.000 0.000
0.000 6.032 0.000
0.000 0.000 7.899
ATOMIC_POSITIONS angstrom
O 0.707 2.749 1.975
O 1.712 4.255 7.529
O 4.482 4.793 3.580
O 4.482 4.793 0.370
O 1.059 1.239 4.319
O 1.059 1.239 7.529
O 4.835 3.284 5.924
O 3.830 1.777 0.370
O 2.064 5.765 1.975
O 3.477 0.267 5.924
O 3.830 1.777 3.580
O 1.712 4.255 4.319
Pr 2.606 2.545 5.924
Pr 5.376 0.471 1.975
Pr 2.936 3.487 1.975
Pr 0.165 5.561 5.924
Nb 0.000 3.016 0.000
Nb 2.771 0.000 0.000
Nb 0.000 3.016 3.949
Nb 2.771 0.000 3.949
! - uncorrected energy (eV per atom) = -8.601

Entry 12:
! Pr2Nb2O5 PBE-GGA relaxed; values from VASP
&SYSTEM
  ibrav = 0, nat = 9, ntyp = 3
/
ATOMIC_SPECIES
Nb 92.91 Nb.upf
O 16.00 O.upf
Pr 140.91 Pr.upf
CELL_PARAMETERS angstrom
10.356 0.000 0.000
0.000 3.549 0.000
0.000 0.000 3.549
ATOMIC_POSITIONS angstrom
Nb 5.178 0.000 0.000
Nb 0.000 0.000 0.000
O 9.157 1.775 0.000
O 9.157 0.000 1.775
O 1.200 1.775 0.000
O 1.200 0.000 1.775
O 5.178 1.775 1.775
Pr 2.734 1.775 1.775
Pr 7.622 1.775 1.775
! - relative energy among the computed polymorphs (eV/f.u.) = 3.40

Number 1: total moment 0.995 μB per cell. Number 2: total moment 0.000 μB per cell. Number 3: total moment 0.283 μB per cell. Number 4: total moment 0.007 μB per cell. Number 5: total moment 0.156 μB per cell. Number 6: total moment 0.008 μB per cell. Number 7: total moment 0.014 μB per cell. Number 8: total moment 0.007 μB per cell. Number 9: total moment 0.003 μB per cell. Number 10: total moment 0.001 μB per cell. Number 11: total moment 0.014 μB per cell. Number 12: total moment 0.137 μB per cell.